[1]
Crystalline PmIO at its relaxed geometry. Source: the Open Quantum Materials Database, functional GGA-PBE.

Geometry as POSCAR:
```
PmIO
1.0
4.075 0.000 0.000
0.000 4.264 0.000
0.000 0.000 10.081
Pm I O
2 2 2
Cartesian
1.019 1.066 1.083
3.057 3.198 8.998
1.019 3.198 6.634
3.057 1.066 3.447
1.019 3.198 0.171
3.057 1.066 9.910
```

## Properties
Its symmetry is No. 59.

=====

[2]
Crystalline PmIO at its relaxed geometry. Source: the Open Quantum Materials Database, functional GGA-PBE.

Geometry as POSCAR:
```
PmIO
1.0
10.065 -2.068 0.000
10.065 2.068 0.000
-0.552 0.000 7.971
Pm I O
4 4 4
Cartesian
3.822 0.000 0.928
3.564 0.000 4.892
16.013 0.000 3.079
15.756 0.000 7.043
0.998 0.000 6.702
7.705 0.000 5.183
11.872 0.000 2.788
18.579 0.000 1.269
4.606 0.000 7.002
4.917 0.000 2.969
14.660 0.000 5.002
14.972 0.000 0.968
```

## Properties
Its symmetry is No. 12.

=====

[3]
Crystalline PmIO at its relaxed geometry. Source: the Open Quantum Materials Database, functional GGA-PBE.

Geometry as POSCAR:
```
PmIO
1.0
2.021 1.167 10.401
-2.021 1.167 10.401
0.000 -2.333 10.401
Pm I O
2 2 2
Cartesian
0.000 0.000 6.639
0.000 0.000 24.565
0.000 0.000 11.983
0.000 0.000 19.221
0.000 0.000 4.321
0.000 0.000 26.883
```

## Properties
Its symmetry is No. 166.

=====

[4]
Crystalline PmTmI2O2 at its relaxed geometry. Source: the Open Quantum Materials Database, functional GGA-PBE.

Geometry as POSCAR:
```
PmTmI2O2
1.0
3.954 0.000 0.000
0.000 3.954 0.000
0.000 0.000 9.241
Pm Tm I O
1 1 2 2
Cartesian
0.000 0.000 0.000
1.977 1.977 2.223
0.000 0.000 4.126
1.977 1.977 7.331
0.000 1.977 1.197
1.977 0.000 1.197
```

## Properties
Its symmetry is No. 99.

=====

[5]
Crystalline PrIO5 at its relaxed geometry. Source: the Open Quantum Materials Database, functional GGA-PBE.

Geometry as POSCAR:
```
PrIO5
1.0
4.546 -3.291 0.000
4.546 3.291 0.000
-3.293 0.000 7.000
Pr I O
2 2 10
Cartesian
2.076 3.025 5.250
3.722 -3.025 1.750
4.546 0.000 0.000
2.899 0.000 3.500
4.380 1.864 0.197
3.065 1.864 3.303
1.258 0.074 2.712
-0.388 -0.074 6.212
2.076 0.520 5.250
3.722 -0.520 1.750
6.187 0.074 0.788
4.540 -0.074 4.288
2.733 -1.864 3.697
1.419 -1.864 6.803
```

## Properties
Its symmetry is No. 15.

=====

[6]
Crystalline PrI3O9 at its relaxed geometry. Source: the Open Quantum Materials Database, functional GGA-PBE.

Geometry as POSCAR:
```
PrI3O9
1.0
8.803 0.000 0.000
0.000 5.845 0.000
-6.954 0.000 15.025
Pr I O
4 12 36
Cartesian
0.514 1.398 1.482
-2.963 1.524 8.994
4.812 4.321 6.031
1.335 4.446 13.544
-1.767 1.104 5.206
-5.244 1.819 12.718
-0.441 3.762 7.893
3.036 5.005 0.381
-1.910 3.467 12.008
1.567 5.300 4.495
0.282 0.544 10.530
3.759 2.378 3.018
-1.187 0.840 14.645
2.290 2.082 7.132
7.093 4.026 2.307
3.616 4.741 9.820
-4.391 0.315 10.695
-0.915 2.607 3.182
-2.369 0.452 6.829
-5.846 2.470 14.342
-3.792 3.563 10.112
-0.315 5.203 2.599
-2.221 3.456 7.413
-5.698 5.311 14.926
-3.246 3.471 13.273
0.231 5.296 5.760
1.227 1.139 3.859
-2.250 1.783 11.372
-3.413 0.548 14.234
0.064 2.374 6.722
2.348 2.975 1.966
-1.129 5.792 9.479
2.754 0.194 1.880
-0.723 2.728 9.393
2.572 3.116 5.632
-0.905 5.650 13.145
2.978 0.053 5.547
-0.499 2.869 13.059
1.785 3.471 8.304
5.262 5.296 0.791
4.099 4.061 3.654
0.622 4.705 11.166
1.618 0.549 9.265
5.095 2.373 1.752
7.546 0.533 0.099
4.070 2.389 7.612
2.164 0.641 12.427
5.641 2.281 4.914
7.694 3.374 0.684
4.217 5.393 8.196
2.763 3.237 11.843
6.240 5.530 4.331
```

## Properties
Its symmetry is No. 14.

=====

[7]
Crystalline PrIO at its relaxed geometry. Source: the Open Quantum Materials Database, functional GGA-PBE.

Geometry as POSCAR:
```
PrIO
1.0
7.405 0.000 0.000
0.000 13.820 0.000
0.000 0.000 13.202
Pr I O
16 16 16
Cartesian
0.890 2.432 2.406
0.890 4.478 9.007
1.409 0.023 12.042
1.409 6.887 5.441
2.293 6.933 12.042
2.293 13.797 5.441
2.813 9.343 2.406
2.813 11.388 9.007
4.592 2.432 4.195
4.592 4.478 10.796
5.112 0.023 7.761
5.112 6.887 1.160
5.995 6.933 7.761
5.995 13.797 1.160
6.515 9.343 4.195
6.515 11.388 10.796
0.119 2.192 6.408
0.119 4.718 13.009
0.808 8.709 9.501
0.808 12.022 2.899
2.895 1.799 9.501
2.895 5.112 2.899
3.584 9.102 6.408
3.584 11.628 13.009
3.821 2.192 0.193
3.821 4.718 6.794
4.510 8.709 10.303
4.510 12.022 3.702
6.597 1.799 10.303
6.597 5.112 3.702
7.286 9.102 0.193
7.286 11.628 6.794
0.503 1.076 0.678
0.503 5.834 7.279
1.168 8.442 3.683
1.168 12.289 10.284
2.534 1.532 3.683
2.534 5.379 10.284
3.199 7.987 0.678
3.199 12.744 7.279
4.206 1.076 5.923
4.206 5.834 12.525
4.871 8.442 2.918
4.871 12.289 9.519
6.237 1.532 2.918
6.237 5.379 9.519
6.902 7.987 5.923
6.902 12.744 12.525
```

## Properties
Its symmetry is No. 61.

=====

[8]
Crystalline PrIO at its relaxed geometry. Source: the Open Quantum Materials Database, functional GGA-PBE.

Geometry as POSCAR:
```
PrIO
1.0
4.155 0.000 0.000
0.000 4.323 0.000
0.000 0.000 10.106
Pr I O
2 2 2
Cartesian
1.039 1.081 1.114
3.117 3.242 8.991
1.039 3.242 6.600
3.117 1.081 3.506
1.039 3.242 0.165
3.117 1.081 9.941
```

## Properties
Its symmetry is No. 59.

=====

[9]
Crystalline PrIO at its relaxed geometry. Source: the Open Quantum Materials Database, functional GGA-PBE.

Geometry as POSCAR:
```
PrIO
1.0
0.000 5.792 6.202
4.059 0.000 6.202
4.059 5.792 0.000
Pr I O
4 4 4
Cartesian
3.044 0.321 4.651
5.074 3.217 7.752
3.044 8.367 4.651
5.074 11.262 7.752
4.059 2.896 3.101
2.029 5.792 3.101
2.029 2.896 6.202
4.059 5.792 6.202
1.015 1.448 0.052
1.015 1.448 3.049
7.103 10.135 9.355
7.103 10.135 12.351
```

## Properties
Its symmetry is No. 70.

=====

[10]
Crystalline PrIO at its relaxed geometry. Source: the Open Quantum Materials Database, functional GGA-PBE.

Geometry as POSCAR:
```
PrIO
1.0
6.488 0.000 0.000
0.000 6.835 0.000
-1.382 0.000 7.308
Pr I O
4 4 4
Cartesian
0.808 0.749 1.379
0.117 2.669 5.033
4.989 4.166 2.275
4.298 6.086 5.929
1.279 5.105 6.970
1.970 5.147 3.316
3.136 1.688 3.992
3.827 1.729 0.338
-0.847 1.081 6.408
-0.157 2.336 2.754
5.263 4.499 4.555
5.954 5.753 0.900
```

## Properties
Its symmetry is No. 14.

=====

[11]
Crystalline PrIO at its relaxed geometry. Source: the Open Quantum Materials Database, functional GGA-PBE.

Geometry as POSCAR:
```
PrIO
1.0
4.100 0.000 0.000
0.000 4.100 0.000
0.000 0.000 9.196
Pr I O
2 2 2
Cartesian
1.025 1.025 1.190
3.075 3.075 8.006
1.025 1.025 6.117
3.075 3.075 3.079
1.025 3.075 0.000
3.075 1.025 0.000
```

## Properties
Its symmetry is No. 129.

=====

[12]
Crystalline Pr3IO4 at its relaxed geometry. Source: the Open Quantum Materials Database, functional GGA-PBE.

Geometry as POSCAR:
```
Pr3IO4
1.0
4.084 0.000 0.000
0.000 4.084 0.000
0.000 0.000 9.548
Pr I O
3 1 4
Cartesian
0.000 0.000 0.000
2.042 2.042 2.477
2.042 2.042 7.070
0.000 0.000 4.774
0.000 2.042 1.456
0.000 2.042 8.092
2.042 0.000 1.456
2.042 0.000 8.092
```

## Properties
Its symmetry is No. 123.

=====

Record-wise VASP energy values, in eV/atom: -6.34 -6.40 -6.34 -6.40 -5.83 -5.13 -6.22 -6.30 -5.96 -6.14 -6.41 -7.47